1.
! Ba3NaSr4 | the Alexandria database | GGA-PBE | optimized geometry; values from VASP
&SYSTEM
  ibrav = 0, nat = 16, ntyp = 3
/
ATOMIC_SPECIES
Sr 87.62 Sr.upf
Ba 137.33 Ba.upf
Na 22.99 Na.upf
ATOMIC_POSITIONS crystal
Sr 0.064 0.124 0.248
Ba 0.064 0.623 0.234
Na 0.065 0.359 0.000
Sr 0.064 0.865 0.500
Ba 0.564 0.377 0.734
Ba 0.064 0.379 0.500
Ba 0.564 0.377 0.266
Sr 0.564 0.109 0.500
Sr 0.064 0.124 0.752
Sr 0.564 0.876 0.748
Ba 0.064 0.623 0.766
Sr 0.564 0.876 0.252
Sr 0.064 0.891 0.000
Ba 0.564 0.621 0.000
Na 0.565 0.641 0.500
Sr 0.564 0.135 0.000
CELL_PARAMETERS angstrom
6.854 0.000 0.000
0.000 9.586 0.000
0.000 0.000 13.691
! * spin magnetization: 0.000 μB/atom
! * calculated total energy: -27.155 eV for the cell shown
! * DOS(E_F): 21.55 states/eV/cell

---

2.
! LiY2Ta | the Alexandria database | GGA-PBE | optimized geometry; values from VASP
&SYSTEM
  ibrav = 0, nat = 4, ntyp = 3
/
ATOMIC_SPECIES
Li 6.94 Li.upf
Ta 180.95 Ta.upf
Y 88.91 Y.upf
ATOMIC_POSITIONS crystal
Li 0.250 0.250 0.250
Ta 0.750 0.750 0.750
Y 0.494 0.494 0.494
Y 0.006 0.006 0.006
CELL_PARAMETERS angstrom
11.047 -0.009 -0.006
10.561 3.239 -0.006
10.561 1.579 2.828
! * spin magnetization: 0.000 μB/atom
! * calculated total energy: -25.374 eV for the cell shown
! * DOS(E_F): 4.85 states/eV/cell

---

3.
! LaZrBr2 | the Alexandria database | GGA-PBE | optimized geometry; values from VASP
&SYSTEM
  ibrav = 0, nat = 4, ntyp = 3
/
ATOMIC_SPECIES
Br 79.90 Br.upf
Zr 91.22 Zr.upf
La 138.91 La.upf
ATOMIC_POSITIONS crystal
Br 0.000 0.000 0.981
Zr 0.500 0.500 0.750
La 0.500 0.500 0.250
Br 0.000 0.000 0.519
CELL_PARAMETERS angstrom
3.632 0.002 0.000
-2.025 3.015 0.000
0.000 0.000 9.752
! * spin magnetization: 0.000 μB/atom
! * calculated total energy: -19.457 eV for the cell shown
! * formation energy without anion corrections: -658.9 meV per atom
! * DOS(E_F): 3.28 states/eV/cell

---

4.
! Ni2BiIr2 | the Alexandria database | GGA-PBE | optimized geometry; values from VASP
&SYSTEM
  ibrav = 0, nat = 10, ntyp = 3
/
ATOMIC_SPECIES
Ir 192.22 Ir.upf
Bi 208.98 Bi.upf
Ni 58.69 Ni.upf
ATOMIC_POSITIONS crystal
Ir 0.873 0.627 0.000
Ir 0.627 0.127 0.000
Bi 0.500 0.500 0.000
Ir 0.373 0.873 0.000
Ni 0.668 0.832 0.500
Ir 0.127 0.373 0.000
Ni 0.168 0.668 0.500
Ni 0.332 0.168 0.500
Ni 0.832 0.332 0.500
Bi 0.000 0.000 0.000
CELL_PARAMETERS angstrom
-4.314 -5.755 1.772
1.985 -3.417 -6.265
2.190 -1.223 1.361
! * spin magnetization: 0.001 μB/atom
! * calculated total energy: -63.097 eV for the cell shown
! * DOS(E_F): 13.49 states/eV/cell

---

5.
! Tl3CuP | the Alexandria database | GGA-PBE | optimized geometry; values from VASP
&SYSTEM
  ibrav = 0, nat = 5, ntyp = 3
/
ATOMIC_SPECIES
Tl 204.38 Tl.upf
Cu 63.55 Cu.upf
P 30.97 P.upf
ATOMIC_POSITIONS crystal
Tl 0.000 0.000 0.500
Tl 0.500 0.000 0.000
Tl 0.000 0.500 0.000
Cu 0.500 0.500 0.500
P 0.000 0.000 0.000
CELL_PARAMETERS angstrom
5.377 0.000 0.000
0.000 5.377 0.000
0.000 0.000 5.377
! * spin magnetization: 0.000 μB/atom
! * calculated total energy: -13.335 eV for the cell shown
! * DOS(E_F): 1.80 states/eV/cell

---

6.
! BiPdOF2 | the Alexandria database | GGA-PBE | optimized geometry; values from VASP
&SYSTEM
  ibrav = 0, nat = 5, ntyp = 4
/
ATOMIC_SPECIES
O 16.00 O.upf
Pd 106.42 Pd.upf
Bi 208.98 Bi.upf
F 19.00 F.upf
ATOMIC_POSITIONS crystal
O 0.000 0.000 0.500
Pd 0.500 0.500 0.500
Bi 0.000 0.000 0.000
F 0.500 0.000 0.000
F 0.000 0.500 0.000
CELL_PARAMETERS angstrom
4.556 0.000 0.000
0.000 4.556 0.000
0.000 0.000 4.409
! * spin magnetization: 0.141 μB/atom
! * calculated total energy: -22.433 eV for the cell shown
! * formation energy without anion corrections: -931.8 meV per atom
! * DOS(E_F): 5.52 states/eV/cell

---

7.
! PtW2 | the Alexandria database | GGA-PBE | optimized geometry; values from VASP
&SYSTEM
  ibrav = 0, nat = 12, ntyp = 2
/
ATOMIC_SPECIES
W 183.84 W.upf
Pt 195.08 Pt.upf
ATOMIC_POSITIONS crystal
W 0.660 0.830 0.750
W 0.830 0.170 0.250
W 0.340 0.170 0.250
W 0.170 0.830 0.750
W 0.000 0.000 0.500
Pt 0.667 0.333 0.928
W 0.830 0.660 0.250
W 0.170 0.340 0.750
Pt 0.333 0.667 0.072
Pt 0.333 0.667 0.428
Pt 0.667 0.333 0.572
W 0.000 0.000 0.000
CELL_PARAMETERS angstrom
5.243 0.000 0.000
-2.621 4.540 0.000
0.000 0.000 8.478
! * spin magnetization: 0.000 μB/atom
! * calculated total energy: -123.367 eV for the cell shown
! * DOS(E_F): 10.86 states/eV/cell

---

8.
! Sm2Al2CuNi5 | the Alexandria database | GGA-PBE | optimized geometry; values from VASP
&SYSTEM
  ibrav = 0, nat = 20, ntyp = 4
/
ATOMIC_SPECIES
Ni 58.69 Ni.upf
Cu 63.55 Cu.upf
Al 26.98 Al.upf
Sm 150.36 Sm.upf
ATOMIC_POSITIONS crystal
Ni 0.500 0.446 0.307
Cu 0.000 0.500 0.500
Al 0.000 0.874 0.374
Ni 0.500 0.807 0.946
Ni 0.500 0.500 0.000
Ni 0.500 0.307 0.554
Ni 0.500 0.193 0.054
Sm 0.000 0.825 0.675
Sm 0.000 0.325 0.825
Al 0.000 0.626 0.874
Sm 0.000 0.175 0.325
Ni 0.500 0.000 0.500
Ni 0.500 0.054 0.807
Cu 0.000 0.000 0.000
Al 0.000 0.126 0.626
Ni 0.500 0.554 0.693
Ni 0.500 0.693 0.446
Al 0.000 0.374 0.126
Sm 0.000 0.675 0.175
Ni 0.500 0.946 0.193
CELL_PARAMETERS angstrom
-1.082 1.345 2.619
-9.036 0.720 -4.102
-2.361 -8.960 3.626
! * spin magnetization: 0.000 μB/atom
! * calculated total energy: -104.123 eV for the cell shown
! * DOS(E_F): 12.26 states/eV/cell